(1)
The following is a DFT calculation (GGA-PBE) of crystalline TiP2RhCl at its relaxed geometry.

Results
Raw formation energy (eV per atom): 0.423
Total DFT energy (no corrections) (eV per atom): -5.159

Cell: 4.721 4.721 4.567 Å, 90.00 90.00 90.00°
Each line ends with the local moment (μB).
Positions (direct):
1 P 0.000 0.500 0.000  0.01
2 P 0.500 0.000 0.000  0.01
3 Cl 0.000 0.000 0.500  0.07
4 Rh 0.500 0.500 0.500  1.05
5 Ti 0.000 0.000 0.000  0.19

(2)
The following is a DFT calculation (GGA-PBE) of crystalline TlPRhCl2 at its relaxed geometry.

Results
Raw formation energy (eV per atom): -0.237
Total DFT energy (no corrections) (eV per atom): -4.001

Cell: 5.223 5.223 4.423 Å, 90.00 90.00 90.00°
Positions (direct):
1 Rh 0.000 0.000 0.000
2 P 0.000 0.000 0.500
3 Tl 0.500 0.500 0.500
4 Cl 0.000 0.500 0.000
5 Cl 0.500 0.000 0.000

(3)
The following is a DFT calculation (GGA-PBE) of crystalline TlPRhCl2 at its relaxed geometry.

Results
Raw formation energy (eV per atom): 0.942
Total DFT energy (no corrections) (eV per atom): -2.823

Cell: 5.367 5.367 5.209 Å, 90.00 90.00 90.00°
Each line ends with the local moment (μB).
Positions (direct):
1 Tl 0.000 0.000 0.000  0.00
2 P 0.000 0.000 0.500  0.60
3 Cl 0.500 0.000 0.000  0.07
4 Rh 0.500 0.500 0.500  1.67
5 Cl 0.000 0.500 0.000  0.07